Computed, not measured: a geometry-optimized SrCrIn structure at the PBE-GGA level of DFT.

abc: 5.0031 5.0031 4.0278
angles: 90.00 90.00 120.00
Closest atoms and distances in Å follow each position.
Positions (direct):
In  0.6667  0.3333  0.1662  3 Cr 2.89
Cr  0.0000  0.0000  0.1675  3 In 2.89
Sr  0.3333  0.6667  0.6663  6 Cr 3.52, 6 In 3.52

Properties
Space-group type: P3m1, No. 156
Electronic total energy: -13.42 eV per cell
Total magnetic moment: 3.98 μB/f.u.